Entry 1:
CaTaP: optimized geometry, PBE-GGA.

Results
Density of states at the Fermi level = 0.591 states/eV/atom
Energy = -20.27 eV per formula unit
Energy of formation = -0.3354 eV/atom

Lattice parameters (Å, degrees): 3.413 3.413 11.007 90.00 90.00 90.00
Space group I4mm (No. 107)
Unique sites:
Ca1 0.000 0.000 0.000
Ta1 0.000 0.000 0.713
P1 0.000 0.000 0.277

---

Entry 2:
LiDy3Cd4: optimized geometry, PBE-GGA.

Results
Density of states at the Fermi level = 0.761 states/eV/atom
Energy = -21.68 eV per formula unit
Energy of formation = -0.2875 eV/atom

Lattice parameters (Å, degrees): 3.660 3.660 14.720 90.00 90.00 90.00
Space group P4/mmm (No. 123)
Unique sites:
Li1 0.000 0.000 0.000
Dy1 0.000 0.000 0.241
Dy2 0.000 0.000 0.500
Cd1 0.500 0.500 0.107
Cd2 0.500 0.500 0.371

---

Entry 3:
CsBa8Au2: optimized geometry, PBE-GGA.

Results
Density of states at the Fermi level = 1.181 states/eV/atom
Energy = -25.03 eV per formula unit
Energy of formation = -0.2040 eV/atom

Lattice parameters (Å, degrees): 19.375 8.649 7.644 90.00 96.98 90.00
Space group C2/m (No. 12)
Unique sites:
Cs1 0.000 0.000 0.000
Ba1 0.079 0.500 0.825
Ba2 0.143 0.250 0.391
Ba3 0.215 0.000 0.910
Au1 0.230 0.500 0.660